This record from Alexandria describes a relaxed LaSmGdIn crystal. The functional is PBE.

Properties
ρ (g/cm³): 7.54
SG: F-43m (216)
Size of the total moment (μB per cell): 33.3
Energy of formation from the pure elements (eV/atom): -0.19

CIF file:
```
data_LaSmGdIn
_chemical_formula_sum 'La4 Sm4 Gd4 In4'
_cell_length_a 7.9081
_cell_length_b 7.9081
_cell_length_c 7.9081
_cell_angle_alpha 90.00
_cell_angle_beta 90.00
_cell_angle_gamma 90.00
_space_group_name_H-M_alt 'P 1'
_space_group_IT_number 1
_space_group_name_Hall 'P 1'
loop_
_atom_site_label
_atom_site_type_symbol
_atom_site_fract_x
_atom_site_fract_y
_atom_site_fract_z
La1 La 0.0000 0.0000 0.0000
La2 La 0.0000 0.5000 0.5000
La3 La 0.5000 0.0000 0.5000
La4 La 0.5000 0.5000 0.0000
Sm1 Sm 0.0000 0.0000 0.5000
Sm2 Sm 0.0000 0.5000 0.0000
Sm3 Sm 0.5000 0.0000 0.0000
Sm4 Sm 0.5000 0.5000 0.5000
Gd1 Gd 0.2500 0.2500 0.7500
Gd2 Gd 0.2500 0.7500 0.2500
Gd3 Gd 0.7500 0.2500 0.2500
Gd4 Gd 0.7500 0.7500 0.7500
In1 In 0.2500 0.2500 0.2500
In2 In 0.2500 0.7500 0.7500
In3 In 0.7500 0.2500 0.7500
In4 In 0.7500 0.7500 0.2500
```



This record from Alexandria describes a relaxed La12Ga3N5 crystal. The functional is PBE.

Properties
ρ (g/cm³): 5.95
SG: Ia-3d (230)
Size of the total moment (μB per cell): 0.0
E_tot (eV/atom): -6.299

CIF file:
```
data_La12Ga3N5
_chemical_formula_sum 'La48 Ga12 N20'
_cell_length_a 14.1284
_cell_length_b 14.1284
_cell_length_c 14.1284
_cell_angle_alpha 109.47
_cell_angle_beta 109.47
_cell_angle_gamma 109.47
_space_group_name_H-M_alt 'P 1'
_space_group_IT_number 1
_space_group_name_Hall 'P 1'
loop_
_atom_site_label
_atom_site_type_symbol
_atom_site_fract_x
_atom_site_fract_y
_atom_site_fract_z
La1 La 0.0167 0.2006 0.1131
La2 La 0.0167 0.3161 0.9037
La3 La 0.0876 0.7006 0.6839
La4 La 0.0876 0.8869 0.4037
La5 La 0.0963 0.6131 0.4124
La6 La 0.0963 0.9833 0.6839
La7 La 0.1131 0.0167 0.2006
La8 La 0.1131 0.5963 0.9124
La9 La 0.1839 0.2006 0.5876
La10 La 0.1839 0.4833 0.5963
La11 La 0.2006 0.1131 0.0167
La12 La 0.2006 0.5876 0.1839
La13 La 0.2994 0.3161 0.9124
La14 La 0.2994 0.4833 0.3869
La15 La 0.3161 0.9037 0.0167
La16 La 0.3161 0.9124 0.2994
La17 La 0.3869 0.2994 0.4833
La18 La 0.3869 0.5876 0.9037
La19 La 0.4037 0.0876 0.8869
La20 La 0.4037 0.8161 0.5167
La21 La 0.4124 0.0963 0.6131
La22 La 0.4124 0.8161 0.7994
La23 La 0.4833 0.3869 0.2994
La24 La 0.4833 0.5963 0.1839
La25 La 0.5167 0.4037 0.8161
La26 La 0.5167 0.6131 0.7006
La27 La 0.5876 0.1839 0.2006
La28 La 0.5876 0.9037 0.3869
La29 La 0.5963 0.1839 0.4833
La30 La 0.5963 0.9124 0.1131
La31 La 0.6131 0.4124 0.0963
La32 La 0.6131 0.7006 0.5167
La33 La 0.6839 0.0876 0.7006
La34 La 0.6839 0.0963 0.9833
La35 La 0.7006 0.5167 0.6131
La36 La 0.7006 0.6839 0.0876
La37 La 0.7994 0.4124 0.8161
La38 La 0.7994 0.8869 0.9833
La39 La 0.8161 0.5167 0.4037
La40 La 0.8161 0.7994 0.4124
La41 La 0.8869 0.4037 0.0876
La42 La 0.8869 0.9833 0.7994
La43 La 0.9037 0.0167 0.3161
La44 La 0.9037 0.3869 0.5876
La45 La 0.9124 0.1131 0.5963
La46 La 0.9124 0.2994 0.3161
La47 La 0.9833 0.6839 0.0963
La48 La 0.9833 0.7994 0.8869
Ga1 Ga 0.1250 0.2500 0.3750
Ga2 Ga 0.1250 0.3750 0.7500
Ga3 Ga 0.2500 0.3750 0.1250
Ga4 Ga 0.2500 0.8750 0.6250
Ga5 Ga 0.3750 0.1250 0.2500
Ga6 Ga 0.3750 0.7500 0.1250
Ga7 Ga 0.6250 0.2500 0.8750
Ga8 Ga 0.6250 0.8750 0.7500
Ga9 Ga 0.7500 0.1250 0.3750
Ga10 Ga 0.7500 0.6250 0.8750
Ga11 Ga 0.8750 0.6250 0.2500
Ga12 Ga 0.8750 0.7500 0.6250
N1 N 0.0000 0.0000 0.0000
N2 N 0.0000 0.0000 0.5000
N3 N 0.0000 0.5000 0.0000
N4 N 0.0000 0.5000 0.5000
N5 N 0.1250 0.7500 0.8750
N6 N 0.1250 0.8750 0.2500
N7 N 0.2500 0.1250 0.8750
N8 N 0.2500 0.6250 0.3750
N9 N 0.3750 0.2500 0.6250
N10 N 0.3750 0.6250 0.7500
N11 N 0.5000 0.0000 0.0000
N12 N 0.5000 0.0000 0.5000
N13 N 0.5000 0.5000 0.0000
N14 N 0.5000 0.5000 0.5000
N15 N 0.6250 0.3750 0.2500
N16 N 0.6250 0.7500 0.3750
N17 N 0.7500 0.3750 0.6250
N18 N 0.7500 0.8750 0.1250
N19 N 0.8750 0.1250 0.7500
N20 N 0.8750 0.2500 0.1250
```



This record from Alexandria describes a relaxed TiZn2Ni5 crystal. The functional is PBE.

Properties
ρ (g/cm³): 8.20
SG: I4/mmm (139)
Size of the total moment (μB per cell): 0.0
Energy of formation from the pure elements (eV/atom): -0.34

CIF file:
```
data_TiZn2Ni5
_chemical_formula_sum 'Ti2 Zn4 Ni10'
_cell_length_a 3.6965
_cell_length_b 3.6965
_cell_length_c 13.9984
_cell_angle_alpha 90.00
_cell_angle_beta 90.00
_cell_angle_gamma 90.00
_space_group_name_H-M_alt 'P 1'
_space_group_IT_number 1
_space_group_name_Hall 'P 1'
loop_
_atom_site_label
_atom_site_type_symbol
_atom_site_fract_x
_atom_site_fract_y
_atom_site_fract_z
Ti1 Ti 0.0000 0.0000 0.0000
Ti2 Ti 0.5000 0.5000 0.5000
Zn1 Zn 0.0000 0.0000 0.2518
Zn2 Zn 0.0000 0.0000 0.7482
Zn3 Zn 0.5000 0.5000 0.2482
Zn4 Zn 0.5000 0.5000 0.7518
Ni1 Ni 0.0000 0.0000 0.5000
Ni2 Ni 0.0000 0.5000 0.1247
Ni3 Ni 0.0000 0.5000 0.3753
Ni4 Ni 0.0000 0.5000 0.6247
Ni5 Ni 0.0000 0.5000 0.8753
Ni6 Ni 0.5000 0.0000 0.1247
Ni7 Ni 0.5000 0.0000 0.3753
Ni8 Ni 0.5000 0.0000 0.6247
Ni9 Ni 0.5000 0.0000 0.8753
Ni10 Ni 0.5000 0.5000 0.0000
```